An optimized crystal structure of Tc2Pt2Rh3, computed with PBE-GGA.

a b c (Å): 3.863 4.761 6.152
angles (deg): 96.90 90.08 113.91
Space group P-1 (No. 2)
Inequivalent atoms, fractional coordinates:
Tc1 0.219 0.438 0.132 x2
Pt1 0.356 0.713 0.570 x2
Rh1 0.073 0.145 0.729 x2
Rh2 0.500 0.000 0.000 x1

Summary:
Theoretical density: 14.492 g/cm³
Formation energy from the elements: -133 meV per atom

An optimized crystal structure of TcPt8Rh2, computed with PBE-GGA.

a b c (Å): 11.422 6.979 5.113
angles (deg): 90.00 101.57 90.00
Space group C2/m (No. 12)
Inequivalent atoms, fractional coordinates:
Tc1 0.000 0.000 0.000 x2
Pt1 0.095 0.500 0.690 x4
Pt2 0.105 0.309 0.206 x8
Pt3 0.209 0.000 0.942 x4
Rh1 0.194 0.000 0.448 x4

Summary:
Theoretical density: 15.507 g/cm³
Relative energy among the computed polymorphs: 538 meV per atom
Formation energy from the elements: 471 meV per atom

An optimized crystal structure of TcPt3Rh7, computed with PBE-GGA.

a b c (Å): 9.259 9.544 4.644
angles (deg): 90.00 119.73 90.00
Space group C2/m (No. 12)
Inequivalent atoms, fractional coordinates:
Tc1 0.000 0.000 0.000 x2
Pt1 0.000 0.272 0.500 x4
Pt2 0.000 0.500 0.000 x2
Rh1 0.000 0.000 0.500 x2
Rh2 0.164 0.241 0.163 x8
Rh3 0.183 0.500 0.677 x4

Summary:
Theoretical density: 13.081 g/cm³
Formation energy from the elements: 353 meV per atom

An optimized crystal structure of TcPt5Rh, computed with PBE-GGA.

a b c (Å): 5.101 6.942 7.091
angles (deg): 90.00 90.00 90.00
Space group Imm2 (No. 44)
Inequivalent atoms, fractional coordinates:
Tc1 0.000 0.000 0.000 x2
Pt1 0.000 0.000 0.336 x2
Pt2 0.000 0.310 0.838 x4
Pt3 0.246 0.500 0.161 x4
Rh1 0.000 0.500 0.501 x2

Summary:
Theoretical density: 15.560 g/cm³
Formation energy from the elements: 507 meV per atom